--- A ---
Material: Dy2GaPd4
Method: DFT, PBE-GGA
State: relaxed

The structure belongs to space group I4/mmm (No. 139); the cell edges are 6.1848, 6.1848 and 7.7387 Å and the angles 90.00°, 90.00° and 90.00°. Symmetry generates all atoms from Dy at (0.0000, 0.5000, 0.2500), Ga at (0.0000, 0.0000, 0.0000) and Pd at (0.2193, 0.2193, 0.5000).

As for the total magnetization: 0.000 μB/cell. Its crystal system is tetragonal.

--- B ---
Material: Dy2GaPd4
Method: DFT, PBE-GGA
State: relaxed

The structure belongs to space group P-1 (No. 2); the cell edges are 4.8900, 4.9546 and 7.1049 Å and the angles 70.75°, 82.44° and 68.61°. Symmetry generates all atoms from Dy at (0.0009, 0.1438, 0.2216), Ga at (0.5000, 0.5000, 0.5000), Pd at (0.0000, 0.5000, 0.5000), Pd at (0.3331, 0.1945, 0.8453) and Pd at (0.5000, 0.0000, 0.5000).

As for the total magnetization: 0.000 μB/cell. Its crystal system is triclinic.

Taking the most stable structure as the zero point, the relative energies in meV/atom are A 7; B 0.

--- A ---
Material: DyGaPd4
Method: DFT, PBE-GGA
State: relaxed

The structure belongs to space group P-1 (No. 2); the cell edges are 4.7336, 5.3398 and 8.9700 Å and the angles 72.84°, 74.75° and 89.99°. Symmetry generates all atoms from Dy at (0.2501, 0.2172, 0.9996), Ga at (0.0000, 0.5000, 0.5000), Ga at (0.5000, 0.0000, 0.5000), Pd at (0.0788, 0.9867, 0.3425), Pd at (0.1559, 0.5679, 0.1886), Pd at (0.3442, 0.7573, 0.8112) and Pd at (0.4214, 0.3298, 0.6568).

As for the total magnetization: 0.000 μB/cell. Its crystal system is triclinic.

--- B ---
Material: DyGaPd4
Method: DFT, PBE-GGA
State: relaxed

The structure belongs to space group F-43m (No. 216); the cell edges are 7.5316, 7.5316 and 7.5316 Å and the angles 90.00°, 90.00° and 90.00°. Symmetry generates all atoms from Dy at (0.0000, 0.0000, 0.0000), Ga at (0.2500, 0.2500, 0.7500) and Pd at (0.1245, 0.1245, 0.3755).

As for the total magnetization: 0.000 μB/cell. Its crystal system is cubic.

Taking the most stable structure as the zero point, the relative energies in meV/atom are A 0; B 44.

--- A ---
Material: DyGa4Pd6
Method: DFT, PBE-GGA
State: relaxed

The structure belongs to space group I-42m (No. 121); the cell edges are 5.3053, 5.3053 and 13.4377 Å and the angles 90.00°, 90.00° and 90.00°. Symmetry generates all atoms from Dy at (0.0000, 0.0000, 0.0000), Ga at (0.1878, 0.1878, 0.3643), Pd at (0.0000, 0.5000, 0.0000) and Pd at (0.2159, 0.2159, 0.1776).

As for the total magnetization: 0.000 μB/cell. Its crystal system is tetragonal.

--- B ---
Material: DyGa4Pd6
Method: DFT, PBE-GGA
State: relaxed

The structure belongs to space group P-6m2 (No. 187); the cell edges are 7.3781, 7.3781 and 3.8806 Å and the angles 90.00°, 90.00° and 120.00°. Symmetry generates all atoms from Dy at (0.0000, 0.0000, 0.0000), Ga at (0.3333, 0.6667, 0.0000), Ga at (0.3961, 0.1981, 0.5000), Pd at (0.1965, 0.3930, 0.5000) and Pd at (0.5336, 0.0671, 0.0000).

As for the total magnetization: 0.000 μB/cell. Its crystal system is hexagonal.

Taking the most stable structure as the zero point, the relative energies in meV/atom are A 195; B 0.

--- A ---
Material: Dy6Ga2Pd
Method: DFT, PBE-GGA
State: relaxed

The structure belongs to space group Immm (No. 71); the cell edges are 9.6001, 9.7337 and 10.0208 Å and the angles 90.00°, 90.00° and 90.00°. Symmetry generates all atoms from Dy at (0.0000, 0.2084, 0.1731), Dy at (0.1743, 0.2388, 0.5000), Dy at (0.1917, 0.5000, 0.2419), Ga at (0.0000, 0.0000, 0.3759), Ga at (0.1428, 0.0000, 0.0000), Pd at (0.0000, 0.5000, 0.0000) and Pd at (0.0000, 0.5000, 0.5000).

As for the total magnetization: 0.002 μB/cell. Its crystal system is orthorhombic.

--- B ---
Material: Dy6Ga2Pd
Method: DFT, PBE-GGA
State: relaxed

The structure belongs to space group Immm (No. 71); the cell edges are 4.9054, 7.0155 and 14.7778 Å and the angles 90.00°, 90.00° and 90.00°. Symmetry generates all atoms from Dy at (0.0000, 0.2439, 0.0000), Dy at (0.0000, 0.2540, 0.3365), Ga at (0.0000, 0.5000, 0.1677) and Pd at (0.0000, 0.5000, 0.5000).

As for the total magnetization: 0.000 μB/cell. Its crystal system is orthorhombic.

Taking the most stable structure as the zero point, the relative energies in meV/atom are A 0; B 127.

--- A ---
Material: Dy2Ga3Pd5
Method: DFT, PBE-GGA
State: relaxed

The structure belongs to space group Ibam (No. 72); the cell edges are 10.6799, 12.0359 and 5.7531 Å and the angles 90.00°, 90.00° and 90.00°. Symmetry generates all atoms from Dy at (0.2211, 0.1438, 0.0000), Ga at (0.0000, 0.5000, 0.2500), Ga at (0.1018, 0.1458, 0.5000), Pd at (0.0000, 0.0000, 0.2500), Pd at (0.0000, 0.2883, 0.2500) and Pd at (0.1789, 0.4147, 0.0000).

As for the total magnetization: 0.000 μB/cell. Its crystal system is orthorhombic.

--- B ---
Material: Dy2Ga3Pd5
Method: DFT, PBE-GGA
State: relaxed

The structure belongs to space group Cmc2_1 (No. 36); the cell edges are 4.1969, 24.9603 and 6.7723 Å and the angles 90.00°, 90.00° and 90.00°. Symmetry generates all atoms from Dy at (0.0000, 0.0262, 0.0000), Dy at (0.0000, 0.3242, 0.0480), Ga at (0.0000, 0.1263, 0.2284), Ga at (0.0000, 0.2834, 0.5973), Ga at (0.0000, 0.4570, 0.1909), Pd at (0.0000, 0.0973, 0.6251), Pd at (0.0000, 0.1962, 0.8664), Pd at (0.0000, 0.2266, 0.2962), Pd at (0.0000, 0.3818, 0.4556) and Pd at (0.0000, 0.4417, 0.8161).

As for the total magnetization: 0.000 μB/cell. Its crystal system is orthorhombic.

Taking the most stable structure as the zero point, the relative energies in meV/atom are A 42; B 0.

--- A ---
Material: PmDyGaPd
Method: DFT, PBE-GGA
State: relaxed

The structure belongs to space group Amm2 (No. 38); the cell edges are 4.4896, 3.8161 and 11.1964 Å and the angles 90.00°, 90.00° and 90.00°. Symmetry generates all atoms from Pm at (0.0000, 0.0000, 0.0000), Dy at (0.5000, 0.0000, 0.7149), Ga at (0.5000, 0.0000, 0.4290) and Pd at (0.0000, 0.0000, 0.2790).

As for the total magnetization: 0.000 μB/cell. Its crystal system is orthorhombic.

--- B ---
Material: PmDyGaPd
Method: DFT, PBE-GGA
State: relaxed

The structure belongs to space group F-43m (No. 216); the cell edges are 7.2011, 7.2011 and 7.2011 Å and the angles 90.00°, 90.00° and 90.00°. Symmetry generates all atoms from Pm at (0.0000, 0.0000, 0.0000), Dy at (0.0000, 0.0000, 0.5000), Ga at (0.2500, 0.2500, 0.7500) and Pd at (0.2500, 0.2500, 0.2500).

As for the total magnetization: 0.000 μB/cell. Its crystal system is cubic.

Taking the most stable structure as the zero point, the relative energies in meV/atom are A 0; B 48.